# 1
! GGA-PBE Be3InTc, relaxed; values from VASP
! energy above the most stable polymorph in this dataset = 818 meV per atom
&SYSTEM
  ibrav = 0, nat = 5, ntyp = 3
/
ATOMIC_SPECIES
Be 9.01 Be.upf
Tc 98.00 Tc.upf
In 114.82 In.upf
CELL_PARAMETERS angstrom
4.360 0.000 0.000
0.000 4.360 0.000
0.000 0.000 4.360
ATOMIC_POSITIONS angstrom
Be 0.000 2.180 0.000
Tc 2.180 2.180 2.180
In 0.000 0.000 0.000
Be 0.000 0.000 2.180
Be 2.180 0.000 0.000

# 2
Be2InTc: relaxed, GGA-PBE. Values from VASP.

Geometry as Quantum ESPRESSO input:
```
&SYSTEM
  ibrav = 0, nat = 4, ntyp = 3
/
ATOMIC_SPECIES
Be 9.01 Be.upf
Tc 98.00 Tc.upf
In 114.82 In.upf
CELL_PARAMETERS angstrom
5.004 0.066 0.026
2.522 4.322 -0.026
-3.743 -2.228 2.463
ATOMIC_POSITIONS angstrom
Be 2.404 -0.047 1.245
Tc 1.194 2.099 1.219
In 3.682 2.147 0.000
Be 0.266 0.155 0.000
```

# 3
Be2InTc: relaxed, GGA-PBE. Values from VASP.

Geometry as Quantum ESPRESSO input:
```
&SYSTEM
  ibrav = 0, nat = 4, ntyp = 3
/
ATOMIC_SPECIES
Be 9.01 Be.upf
Tc 98.00 Tc.upf
In 114.82 In.upf
CELL_PARAMETERS angstrom
2.754 -0.044 0.000
-0.700 2.664 0.000
0.000 0.000 8.052
ATOMIC_POSITIONS angstrom
Be 0.000 0.000 4.403
Be 0.000 0.000 7.675
Tc 1.027 1.310 6.039
In 1.027 1.310 2.013
```

# 4
Be2InTc: relaxed, GGA-PBE. Values from VASP.

Geometry as Quantum ESPRESSO input:
```
&SYSTEM
  ibrav = 0, nat = 4, ntyp = 3
/
ATOMIC_SPECIES
Be 9.01 Be.upf
Tc 98.00 Tc.upf
In 114.82 In.upf
CELL_PARAMETERS angstrom
-2.335 -2.287 -1.226
2.004 -2.532 0.905
-0.933 -1.402 4.393
ATOMIC_POSITIONS angstrom
Be -0.495 -1.873 4.437
Be -1.269 -1.650 0.526
Tc -0.451 -4.270 3.853
In 0.553 -1.797 2.298
```

# 5
BeIn2Tc: relaxed, GGA-PBE. Values from VASP.

Geometry as Quantum ESPRESSO input:
```
&SYSTEM
  ibrav = 0, nat = 4, ntyp = 3
/
ATOMIC_SPECIES
Tc 98.00 Tc.upf
In 114.82 In.upf
Be 9.01 Be.upf
CELL_PARAMETERS angstrom
3.774 0.000 0.000
0.000 3.681 0.004
0.000 1.836 5.099
ATOMIC_POSITIONS angstrom
Tc 0.000 3.448 2.545
In 0.000 5.288 4.732
Be 1.887 3.447 3.859
In 1.887 1.608 1.621
```

# 6
Be2InTc: relaxed, GGA-PBE. Values from VASP.

Geometry as Quantum ESPRESSO input:
```
&SYSTEM
  ibrav = 0, nat = 4, ntyp = 3
/
ATOMIC_SPECIES
In 114.82 In.upf
Tc 98.00 Tc.upf
Be 9.01 Be.upf
CELL_PARAMETERS angstrom
-1.799 3.880 -1.021
-3.433 2.388 1.357
1.841 2.807 3.027
ATOMIC_POSITIONS angstrom
In -0.848 2.269 0.841
Tc -2.544 6.806 2.522
Be -1.250 4.692 2.084
Be 1.395 2.653 2.624
```

# 7
BeIn2Tc: relaxed, GGA-PBE. Values from VASP.

Geometry as Quantum ESPRESSO input:
```
&SYSTEM
  ibrav = 0, nat = 4, ntyp = 3
/
ATOMIC_SPECIES
Tc 98.00 Tc.upf
In 114.82 In.upf
Be 9.01 Be.upf
CELL_PARAMETERS angstrom
-5.820 6.276 2.367
-7.413 3.736 3.156
-5.328 4.929 5.116
ATOMIC_POSITIONS angstrom
Tc -9.035 7.272 5.179
In -0.245 0.197 0.140
Be -14.144 11.385 8.107
In -4.419 3.557 2.533
```

# 8
BeIn2Tc: relaxed, GGA-PBE. Values from VASP.

Geometry as Quantum ESPRESSO input:
```
&SYSTEM
  ibrav = 0, nat = 4, ntyp = 3
/
ATOMIC_SPECIES
Be 9.01 Be.upf
Tc 98.00 Tc.upf
In 114.82 In.upf
CELL_PARAMETERS angstrom
5.090 -0.001 -0.001
1.978 4.690 0.001
-3.390 -2.561 2.803
ATOMIC_POSITIONS angstrom
Be 2.617 -0.109 1.401
Tc 1.061 2.237 1.402
In 7.000 4.643 0.000
In 3.602 2.390 0.000
```

# 9
! GGA-PBE Be3InTc, relaxed; values from VASP
! energy above the most stable polymorph in this dataset = 0 meV per atom
&SYSTEM
  ibrav = 0, nat = 5, ntyp = 3
/
ATOMIC_SPECIES
In 114.82 In.upf
Be 9.01 Be.upf
Tc 98.00 Tc.upf
CELL_PARAMETERS angstrom
-2.680 -2.921 1.579
-0.615 -1.557 -3.925
3.263 -2.692 0.557
ATOMIC_POSITIONS angstrom
In -0.016 -3.586 -0.894
Be 1.632 -1.346 0.278
Be -1.340 -1.461 0.790
Tc 0.000 0.000 0.000
Be -0.308 -0.779 -1.962

# 10
BeIn2Tc: relaxed, GGA-PBE. Values from VASP.

Geometry as Quantum ESPRESSO input:
```
&SYSTEM
  ibrav = 0, nat = 4, ntyp = 3
/
ATOMIC_SPECIES
In 114.82 In.upf
Be 9.01 Be.upf
Tc 98.00 Tc.upf
CELL_PARAMETERS angstrom
-0.405 -2.553 -1.829
1.325 -1.811 2.235
-6.417 -1.079 2.929
ATOMIC_POSITIONS angstrom
In -6.132 -1.031 2.799
In -1.507 -2.513 1.100
Be -3.855 -2.908 2.172
Tc -3.630 -0.610 1.657
```

# 11
! GGA-PBE BeIn3Tc, relaxed; values from VASP
! energy above the most stable polymorph in this dataset = 0 meV per atom
&SYSTEM
  ibrav = 0, nat = 5, ntyp = 3
/
ATOMIC_SPECIES
In 114.82 In.upf
Tc 98.00 Tc.upf
Be 9.01 Be.upf
CELL_PARAMETERS angstrom
5.205 0.000 0.000
0.000 5.205 0.000
0.000 0.000 5.205
ATOMIC_POSITIONS angstrom
In 2.603 0.000 0.000
In 0.000 0.000 2.603
Tc 0.000 0.000 0.000
Be 2.603 2.603 2.603
In 0.000 2.603 0.000

# 12
BeIn2Tc: relaxed, GGA-PBE. Values from VASP.

Geometry as Quantum ESPRESSO input:
```
&SYSTEM
  ibrav = 0, nat = 8, ntyp = 3
/
ATOMIC_SPECIES
Be 9.01 Be.upf
In 114.82 In.upf
Tc 98.00 Tc.upf
CELL_PARAMETERS angstrom
7.274 0.000 0.000
0.000 7.274 0.000
3.637 3.637 2.698
ATOMIC_POSITIONS angstrom
Be 3.637 7.274 1.349
Be 3.637 3.637 0.000
In 9.093 8.791 2.023
In 5.456 5.757 2.023
Tc 0.000 0.000 0.000
Tc 7.274 3.637 1.349
In 2.120 5.456 0.674
In 5.154 1.819 0.674
```

# 13
BeIn2Tc: relaxed, GGA-PBE. Values from VASP.

Geometry as Quantum ESPRESSO input:
```
&SYSTEM
  ibrav = 0, nat = 4, ntyp = 3
/
ATOMIC_SPECIES
In 114.82 In.upf
Tc 98.00 Tc.upf
Be 9.01 Be.upf
CELL_PARAMETERS angstrom
8.698 -0.010 -0.006
8.154 3.027 -0.006
8.154 1.460 2.652
ATOMIC_POSITIONS angstrom
In 0.079 0.014 0.008
In 12.424 2.225 1.312
Tc 6.251 1.119 0.660
Be 18.754 3.358 1.980
```

# 14
Be2InTc: relaxed, GGA-PBE. Values from VASP.

Geometry as Quantum ESPRESSO input:
```
&SYSTEM
  ibrav = 0, nat = 8, ntyp = 3
/
ATOMIC_SPECIES
Tc 98.00 Tc.upf
Be 9.01 Be.upf
In 114.82 In.upf
CELL_PARAMETERS angstrom
-2.463 -5.000 -3.353
1.759 -4.062 4.766
-2.729 -4.160 1.900
ATOMIC_POSITIONS angstrom
Tc -0.352 -4.531 0.707
Be -2.704 -10.954 2.550
Be -1.944 -4.556 -0.946
In -2.772 -6.846 -0.373
In 0.000 0.000 0.000
Be -2.270 -6.613 2.066
Tc -0.661 -6.377 3.686
Be 0.052 -4.321 2.956
```

# 15
Be2InTc: relaxed, GGA-PBE. Values from VASP.

Geometry as Quantum ESPRESSO input:
```
&SYSTEM
  ibrav = 0, nat = 4, ntyp = 3
/
ATOMIC_SPECIES
Be 9.01 Be.upf
Tc 98.00 Tc.upf
In 114.82 In.upf
CELL_PARAMETERS angstrom
8.188 -0.029 -0.017
7.688 2.817 -0.017
7.688 1.350 2.473
ATOMIC_POSITIONS angstrom
Be 0.212 0.037 0.022
Be 11.570 2.032 1.197
Tc 17.673 3.104 1.829
In 5.891 1.035 0.610
```

Number 1: total moment 2.61 μB per formula unit, formation energy 1607.0 meV/atom. Number 2: total moment 0.00 μB per formula unit, formation energy 79.0 meV/atom. Number 3: total moment 0.00 μB per formula unit, formation energy 435.4 meV/atom. Number 4: total moment 0.00 μB per formula unit, formation energy 143.2 meV/atom. Number 5: total moment 0.00 μB per formula unit, formation energy 218.7 meV/atom. Number 6: total moment 0.00 μB per formula unit, formation energy 196.9 meV/atom. Number 7: total moment 0.00 μB per formula unit, formation energy 392.6 meV/atom. Number 8: total moment 0.02 μB per formula unit, formation energy 352.3 meV/atom. Number 9: total moment 0.00 μB per formula unit, formation energy 788.8 meV/atom. Number 10: total moment 0.00 μB per formula unit, formation energy 200.0 meV/atom. Number 11: total moment 0.00 μB per formula unit, formation energy 860.8 meV/atom. Number 12: total moment 1.00 μB per formula unit, formation energy 701.1 meV/atom. Number 13: total moment 0.00 μB per formula unit, formation energy 532.7 meV/atom. Number 14: total moment 0.00 μB per formula unit, formation energy 507.9 meV/atom. Number 15: total moment 0.45 μB per formula unit, formation energy 477.5 meV/atom.